Below is a geometry-optimized Ba2LiVP2O9 structure, with properties calculated at the GGA+U level.

```
Ba2LiVP2O9
1.0
9.2381 -2.6379 0.0000
9.2381 2.6379 0.0000
-3.3152 0.0000 9.2438
Ba Li V P O
4 2 2 4 18
Direct
0.0171 0.9829 0.5000 Ba
0.6527 0.6980 0.8323 Ba
0.6980 0.6527 0.3323 Ba
0.9829 0.0171 0.0000 Ba
0.8031 0.8307 0.2053 Li
0.8307 0.8031 0.7053 Li
0.3077 0.3868 0.9173 V
0.3868 0.3077 0.4173 V
0.2093 0.2384 0.0971 P
0.2384 0.2093 0.5971 P
0.4392 0.5176 0.7455 P
0.5176 0.4392 0.2455 P
0.1493 0.4317 0.2253 O
0.1918 0.2893 0.9525 O
0.2688 0.8011 0.7822 O
0.2893 0.1918 0.4525 O
0.2942 0.5186 0.6112 O
0.3071 0.9918 0.5852 O
0.3260 0.7169 0.2199 O
0.4317 0.1493 0.7253 O
0.4414 0.4607 0.3774 O
0.4607 0.4414 0.8774 O
0.4956 0.9445 0.1222 O
0.5186 0.2942 0.1112 O
0.7169 0.3260 0.7199 O
0.7341 0.9625 0.4030 O
0.8011 0.2688 0.2822 O
0.9445 0.4956 0.6222 O
0.9625 0.7341 0.9030 O
0.9918 0.3071 0.0852 O
```

Computed properties:
- M_tot: 4.000 Bohr magnetons per cell
- VASP energy: -7.1229 eV per atom